Below is crystalline MoOsPt at its relaxed geometry, with properties calculated at the PBE-GGA level.

Results
Energy of formation from the pure elements (kJ/mol of formula units): 45
DOS at the Fermi energy (states/eV/atom): 1.141
E above lowest polymorph (meV per atom): 360.3
Electronic total energy (hartree per atom): -0.3386

abc: 4.871 4.871 4.871
angles: 140.33 140.33 57.36
Element x y z (fractional)
Mo (0.000, 0.000, 0.000)
Os (0.648, 0.648, 0.000)
Pt (0.327, 0.327, 0.000)

***

Below is crystalline Mg2POs at its relaxed geometry, with properties calculated at the PBE-GGA level.

Results
Energy of formation from the pure elements (kJ/mol of formula units): 78
DOS at the Fermi energy (states/eV/atom): 0.857
Electronic total energy (hartree per atom): -0.1748

abc: 4.409 4.409 4.409
angles: 60.00 60.00 60.00
Element x y z (fractional)
Mg (0.000, 0.000, 0.000)
Mg (0.250, 0.250, 0.250)
P (0.750, 0.750, 0.750)
Os (0.500, 0.500, 0.500)

***

Below is crystalline TbSm4ErTm2 at its relaxed geometry, with properties calculated at the PBE-GGA level.

Results
Energy of formation from the pure elements (kJ/mol of formula units): 15
DOS at the Fermi energy (states/eV/atom): 1.388
Electronic total energy (hartree per atom): -0.1693

abc: 5.054 5.069 10.020
angles: 90.00 90.00 90.00
Element x y z (fractional)
Tb (0.000, 0.000, 0.000)
Sm (0.000, 0.500, 0.251)
Sm (0.000, 0.500, 0.749)
Sm (0.500, 0.000, 0.251)
Sm (0.500, 0.000, 0.749)
Er (0.500, 0.500, 0.500)
Tm (0.000, 0.000, 0.500)
Tm (0.500, 0.500, 0.000)